In2CoSe after structural relaxation, computed with PBE.

For the spin magnetization, the calculation gives 0.000 μB per atom. For the uncorrected formation energy, the calculation gives -0.048 eV per atom. The calculation puts the uncorrected energy at -4.0646 eV per atom.

The space group is Amm2 (No. 38) and the conventional cell measures 3.5935, 4.9419 and 10.1298 Å, with angles of 90.00, 90.00 and 90.00 degrees. Symmetry generates all atoms from In at (0.0000, 0.0000, 0.0000), In at (0.5000, 0.0000, 0.3498), Co at (0.5000, 0.0000, 0.8044) and Se at (0.0000, 0.0000, 0.6608).